K4Al5: relaxed, PBE-GGA.

Output
Total moment ... 0.00 μB per formula unit
Mass density ... 1.3 g cm⁻³
Offset from the most stable computed form ... 0 kJ/mol of formula units
Final energy ... -21.1 eV for the cell shown
Energy relative to the elements ... 223 meV/atom
D(E_F) ... 4.10 states/eV/cell

Cell lengths 9.7877, 9.7877, 9.7877 Å; angles 92.50, 92.50, 155.91 degrees
Atoms (fractional coordinates):
K 0.0000 0.2915 0.2915
K 0.0000 0.7085 0.7085
K 0.2915 0.0000 0.2915
K 0.7085 0.0000 0.7085
Al 0.0000 0.0000 0.0000
Al 0.4008 0.4008 0.8016
Al 0.4008 0.5992 0.0000
Al 0.5992 0.4008 0.0000
Al 0.5992 0.5992 0.1984

KAl2: relaxed, PBE-GGA.

Output
Total moment ... 0.00 μB per formula unit
Mass density ... 1.8 g cm⁻³
Offset from the most stable computed form ... 38 kJ/mol of formula units
Final energy ... -15.4 eV for the cell shown
Energy relative to the elements ... 300 meV/atom
D(E_F) ... 3.66 states/eV/cell

Cell lengths 12.5864, 12.5864, 4.4504 Å; angles 90.00, 90.00, 165.99 degrees
Atoms (fractional coordinates):
K 0.1213 0.8787 0.7500
K 0.8787 0.1213 0.2500
Al 0.2402 0.7598 0.2500
Al 0.4741 0.5259 0.7500
Al 0.5259 0.4741 0.2500
Al 0.7598 0.2402 0.7500

KAl3: relaxed, PBE-GGA.

Output
Total moment ... 0.00 μB per formula unit
Mass density ... 2.3 g cm⁻³
Final energy ... -11.1 eV for the cell shown
Energy relative to the elements ... 295 meV/atom
D(E_F) ... 1.51 states/eV/cell

Cell lengths 10.6575, 10.6575, 10.6575 Å; angles 16.65, 16.65, 16.65 degrees
Atoms (fractional coordinates):
K 0.0000 0.0000 0.0000
Al 0.2378 0.2378 0.2378
Al 0.5000 0.5000 0.5000
Al 0.7622 0.7622 0.7622

KAl2: relaxed, PBE-GGA.

Output
Total moment ... 0.00 μB per formula unit
Mass density ... 1.6 g cm⁻³
Offset from the most stable computed form ... 18 kJ/mol of formula units
Final energy ... -7.9 eV for the cell shown
Energy relative to the elements ... 231 meV/atom
D(E_F) ... 2.03 states/eV/cell

Cell lengths 4.5531, 4.5531, 5.4294 Å; angles 90.00, 90.00, 120.00 degrees
Atoms (fractional coordinates):
K 0.0000 0.0000 0.0000
Al 0.3333 0.6667 0.5000
Al 0.6667 0.3333 0.5000